Record 1
Material: Sc8Cu2Ru
Method: DFT, PBE
State: relaxed

## Properties
* formation enthalpy at 0 K: -256.9 meV per atom
* magnetization: 0.000 μB per cell

Unit cell a=15.860 b=4.763 c=6.300 alpha=90.00 beta=109.19 gamma=90.00
Space group C2/m (No. 12)
Symmetry-distinct sites (fractional):
Sc1 0.030 0.000 0.293 [4 per cell]
Sc2 0.095 0.500 0.943 [4 per cell]
Sc3 0.168 0.500 0.471 [4 per cell]
Sc4 0.194 0.000 0.803 [4 per cell]
Cu1 0.182 0.000 0.202 [4 per cell]
Ru1 0.000 0.500 0.500 [2 per cell]

Record 2
Material: Nd12Co5Ag
Method: DFT, PBE
State: relaxed

## Properties
* formation enthalpy at 0 K: -87.4 meV per atom
* magnetization: 0.001 μB per cell

Unit cell a=9.747 b=9.918 c=10.002 alpha=90.00 beta=90.00 gamma=90.00
Space group Immm (No. 71)
Symmetry-distinct sites (fractional):
Nd1 0.000 0.190 0.201 [8 per cell]
Nd2 0.193 0.500 0.182 [8 per cell]
Nd3 0.203 0.317 0.500 [8 per cell]
Co1 0.000 0.000 0.000 [2 per cell]
Co2 0.000 0.375 0.000 [4 per cell]
Co3 0.000 0.500 0.387 [4 per cell]
Ag1 0.000 0.000 0.500 [2 per cell]

Record 3
Material: VPt2S6
Method: DFT, PBE
State: relaxed

## Properties
* E above lowest polymorph: 177 meV/atom
* magnetization: 1.295 μB per cell

Unit cell a=5.463 b=5.463 c=11.170 alpha=90.00 beta=90.00 gamma=90.00
Space group P4_2/mnm (No. 136)
Symmetry-distinct sites (fractional):
V1 0.000 0.000 0.000 [2 per cell]
Pt1 0.000 0.000 0.334 [4 per cell]
S1 0.189 0.189 0.162 [8 per cell]
S2 0.194 0.194 0.500 [4 per cell]

Record 4
Material: ErTm2TlC
Method: DFT, PBE
State: relaxed

## Properties
* formation enthalpy at 0 K: -500.8 meV per atom
* magnetization: 0.000 μB per cell

Unit cell a=4.837 b=4.837 c=4.864 alpha=90.00 beta=90.00 gamma=90.00
Space group P4/mmm (No. 123)
Symmetry-distinct sites (fractional):
Er1 0.000 0.000 0.000 [1 per cell]
Tm1 0.000 0.500 0.500 [2 per cell]
Tl1 0.500 0.500 0.000 [1 per cell]
C1 0.000 0.000 0.500 [1 per cell]

Which formula does entry 4 have?
ErTm2TlC